1.
Computed, not measured: a relaxed structure of CdHgIr2 at the PBE level of DFT.

Values from the calculation:
E_form in eV per formula unit: 1.89
Calculated volume in Å³/cell: 138.4
D(E_F) in states/eV per cell: 11.51

Cell: 4.0988 4.0988 8.2382 Å, 90.00 90.00 90.00°
Last column: nearest neighbours and their distance in Å.
Space group I4/mmm (No. 139)
Unique sites:
Cd 0.0000 0.0000 0.0000 (multiplicity 2)  4 Hg 2.90, 8 Ir 2.91
Hg 0.0000 0.0000 0.5000 (multiplicity 2)  4 Cd 2.90, 8 Ir 2.91
Ir 0.0000 0.5000 0.2500 (multiplicity 4)  4 Ir 2.90, 4 Hg 2.91, 4 Cd 2.91

2.
Computed, not measured: a relaxed structure of CdHgIr2 at the PBE level of DFT.

Values from the calculation:
E_form in eV per formula unit: 2.15
Calculated volume in Å³/cell: 279.4
D(E_F) in states/eV per cell: 17.56

Cell: 6.5376 6.5376 6.5376 Å, 90.00 90.00 90.00°
Last column: nearest neighbours and their distance in Å.
Space group F-43m (No. 216)
Unique sites:
Cd 0.0000 0.0000 0.0000 (multiplicity 4)  4 Ir 2.83, 4 Hg 2.83
Hg 0.2500 0.2500 0.7500 (multiplicity 4)  4 Cd 2.83, 4 Ir 2.83
Ir 0.0000 0.0000 0.5000 (multiplicity 4)  4 Hg 2.83, 4 Ir 2.83
Ir 0.2500 0.2500 0.2500 (multiplicity 4)  4 Cd 2.83, 4 Ir 2.83

3.
Computed, not measured: a relaxed structure of CdHgIr2 at the PBE level of DFT.

Values from the calculation:
E_form in eV per formula unit: 1.64
Calculated volume in Å³/cell: 206.7
D(E_F) in states/eV per cell: 14.65

Cell: 2.9403 2.9403 27.6077 Å, 90.00 90.00 120.00°
Last column: nearest neighbours and their distance in Å.
Space group R-3m (No. 166, hexagonal axes)
Unique sites:
Cd 0.0000 0.0000 0.0000 (multiplicity 3)  6 Ir 2.84, 6 Cd 2.94
Hg 0.0000 0.0000 0.5000 (multiplicity 3)  6 Ir 2.87, 6 Hg 2.94
Ir 0.0000 0.0000 0.2507 (multiplicity 6)  3 Cd 2.84, 3 Hg 2.87, 6 Ir 2.94

4.
Computed, not measured: a relaxed structure of CdHgIr at the PBE level of DFT.

Values from the calculation:
E_form in eV per formula unit: 0.97
Calculated volume in Å³/cell: 114.0
Energy above the most stable polymorph in this dataset in meV per atom: 201.8
D(E_F) in states/eV per cell: 3.07

Cell: 3.0698 3.0698 12.0949 Å, 90.00 90.00 90.00°
Last column: nearest neighbours and their distance in Å.
Space group I4mm (No. 107)
Unique sites:
Cd 0.0000 0.0000 0.0000 (multiplicity 2)  4 Ir 2.82, 4 Cd 3.07
Hg 0.0000 0.0000 0.3047 (multiplicity 2)  4 Ir 2.87, 4 Hg 3.07, 4 Cd 3.21
Ir 0.0000 0.0000 0.6491 (multiplicity 2)  4 Cd 2.82, 4 Hg 2.87, 4 Ir 3.07

5.
Computed, not measured: a relaxed structure of Cd2HgIr at the PBE level of DFT.

Values from the calculation:
E_form in eV per formula unit: 0.59
Calculated volume in Å³/cell: 175.8
Energy above the most stable polymorph in this dataset in meV per atom: 17.6
D(E_F) in states/eV per cell: 4.35

Cell: 2.9913 4.6252 12.7033 Å, 90.00 90.00 90.00°
Last column: nearest neighbours and their distance in Å.
Space group Immm (No. 71)
Unique sites:
Cd 0.0000 0.0000 0.1875 (multiplicity 4)  2 Ir 2.81, 2 Cd 2.99
Hg 0.0000 0.5000 0.0000 (multiplicity 2)  4 Ir 2.75, 2 Hg 2.99
Ir 0.0000 0.5000 0.5000 (multiplicity 2)  4 Hg 2.75, 4 Cd 2.81, 2 Ir 2.99

6.
Computed, not measured: a relaxed structure of Cd3HgIr at the PBE level of DFT.

Values from the calculation:
E_form in eV per formula unit: 1.40
Calculated volume in Å³/cell: 144.4
Energy above the most stable polymorph in this dataset in meV per atom: 0.0
D(E_F) in states/eV per cell: 1.77

Cell: 5.2464 5.2464 5.2464 Å, 90.00 90.00 90.00°
Last column: nearest neighbours and their distance in Å.
Space group Pm-3m (No. 221)
Unique sites:
Cd 0.0000 0.0000 0.5000 (multiplicity 3)  2 Ir 2.62
Hg 0.5000 0.5000 0.5000 (multiplicity 1)  12 Cd 3.71
Ir 0.0000 0.0000 0.0000 (multiplicity 1)  6 Cd 2.62

7.
Computed, not measured: a relaxed structure of Cd2HgIr at the PBE level of DFT.

Values from the calculation:
E_form in eV per formula unit: 1.03
Calculated volume in Å³/cell: 79.4
Energy above the most stable polymorph in this dataset in meV per atom: 128.1
D(E_F) in states/eV per cell: 3.02

Cell: 3.0586 3.0586 8.4866 Å, 90.00 90.00 90.00°
Last column: nearest neighbours and their distance in Å.
Space group P4mm (No. 99)
Unique sites:
Cd 0.0000 0.0000 0.0000 (multiplicity 1)  4 Ir 2.83, 4 Cd 3.06
Cd 0.5000 0.5000 0.2806 (multiplicity 1)  8 Cd 3.06-3.22, 4 Hg 3.21
Hg 0.0000 0.0000 0.5603 (multiplicity 1)  4 Ir 2.88, 4 Hg 3.06, 4 Cd 3.21
Ir 0.5000 0.5000 0.7851 (multiplicity 1)  4 Cd 2.83, 4 Hg 2.88, 4 Ir 3.06

8.
Computed, not measured: a relaxed structure of Cd2HgIr at the PBE level of DFT.

Values from the calculation:
E_form in eV per formula unit: 0.79
Calculated volume in Å³/cell: 151.6
Energy above the most stable polymorph in this dataset in meV per atom: 69.2
D(E_F) in states/eV per cell: 2.92

Cell: 4.1232 4.1232 8.9170 Å, 90.00 90.00 90.00°
Last column: nearest neighbours and their distance in Å.
Space group I-4m2 (No. 119)
Unique sites:
Cd 0.0000 0.0000 0.0000 (multiplicity 2)  4 Ir 2.92, 4 Cd 3.04, 4 Hg 3.04
Cd 0.0000 0.5000 0.2500 (multiplicity 2)  4 Hg 2.92, 4 Cd 3.04, 4 Ir 3.04
Hg 0.0000 0.5000 0.7500 (multiplicity 2)  8 Cd 2.92-3.04, 4 Ir 3.04
Ir 0.0000 0.0000 0.5000 (multiplicity 2)  8 Cd 2.92-3.04, 4 Hg 3.04

9.
Computed, not measured: a relaxed structure of CdHgIr2 at the PBE level of DFT.

Values from the calculation:
E_form in eV per formula unit: 1.73
Calculated volume in Å³/cell: 138.4
D(E_F) in states/eV per cell: 8.95

Cell: 2.9474 4.9261 9.5327 Å, 90.00 90.00 90.00°
Last column: nearest neighbours and their distance in Å.
Space group Cmmm (No. 65)
Unique sites:
Cd 0.0000 0.0000 0.0000 (multiplicity 2)  4 Ir 2.78, 6 Cd 2.87-2.95
Hg 0.0000 0.0000 0.5000 (multiplicity 2)  4 Ir 2.83, 6 Hg 2.87-2.95
Ir 0.0000 0.5000 0.2470 (multiplicity 4)  2 Cd 2.78, 2 Hg 2.83, 6 Ir 2.87-2.95

10.
Computed, not measured: a relaxed structure of CdHgIr2 at the PBE level of DFT.

Values from the calculation:
E_form in eV per formula unit: 2.05
Calculated volume in Å³/cell: 276.7
D(E_F) in states/eV per cell: 15.56

Cell: 6.5160 6.5160 6.5160 Å, 90.00 90.00 90.00°
Last column: nearest neighbours and their distance in Å.
Space group Fm-3m (No. 225)
Unique sites:
Cd 0.0000 0.0000 0.0000 (multiplicity 4)  8 Ir 2.82
Hg 0.0000 0.0000 0.5000 (multiplicity 4)  8 Ir 2.82
Ir 0.2500 0.2500 0.2500 (multiplicity 8)  4 Hg 2.82, 4 Cd 2.82

11.
Computed, not measured: a relaxed structure of KCdHg2Ir at the PBE level of DFT.

Values from the calculation:
E_form in eV per formula unit: -0.17
Calculated volume in Å³/cell: 149.6
D(E_F) in states/eV per cell: 2.57

Cell: 5.3324 5.3324 5.2603 Å, 90.00 90.00 90.00°
Last column: nearest neighbours and their distance in Å.
Space group P4/mmm (No. 123)
Unique sites:
K 0.0000 0.0000 0.0000 (multiplicity 1)  8 Hg 3.75, 4 Cd 3.77
Cd 0.5000 0.5000 0.0000 (multiplicity 1)  2 Ir 2.63
Hg 0.0000 0.5000 0.5000 (multiplicity 2)  2 Ir 2.67
Ir 0.5000 0.5000 0.5000 (multiplicity 1)  2 Cd 2.63, 4 Hg 2.67

12.
Computed, not measured: a relaxed structure of La2CdHgIr at the PBE level of DFT.

Values from the calculation:
E_form in eV per formula unit: -2.13
Calculated volume in Å³/cell: 159.3
Energy above the most stable polymorph in this dataset in meV per atom: 148.3
D(E_F) in states/eV per cell: 2.61

Cell: 5.4921 5.4921 5.2829 Å, 90.00 90.00 90.00°
Last column: nearest neighbours and their distance in Å.
Space group P4/mmm (No. 123)
Unique sites:
La 0.0000 0.5000 0.0000 (multiplicity 2)  2 Ir 2.75
Cd 0.0000 0.0000 0.5000 (multiplicity 1)  2 Ir 2.64
Hg 0.5000 0.5000 0.5000 (multiplicity 1)  8 La 3.81, 4 Cd 3.88
Ir 0.0000 0.0000 0.0000 (multiplicity 1)  2 Cd 2.64, 4 La 2.75

Question: Which of these has the highest D(E_F)?
Answer: number 2